! BaZr2Au2, optimized geometry, DFT PBE; values from VASP
&SYSTEM
  ibrav = 0, nat = 10, ntyp = 3
/
ATOMIC_SPECIES
Ba 137.33 Ba.upf
Zr 91.22 Zr.upf
Au 196.97 Au.upf
CELL_PARAMETERS angstrom
8.6981 0.0000 0.0000
0.0000 8.6981 0.0000
0.0000 0.0000 3.1557
ATOMIC_POSITIONS crystal
Ba 0.0000 0.0000 0.0000
Ba 0.5000 0.5000 0.0000
Zr 0.1227 0.3773 0.0000
Zr 0.3773 0.8773 0.0000
Zr 0.6227 0.1227 0.0000
Zr 0.8773 0.6227 0.0000
Au 0.1710 0.6710 0.5000
Au 0.3290 0.1710 0.5000
Au 0.6710 0.8290 0.5000
Au 0.8290 0.3290 0.5000
! Total DFT energy (no corrections) in eV/cell: -53.24
! Density of states at the Fermi level in states/eV/f.u.: 5.138
! Energy relative to the lowest polymorph listed for this composition in eV/f.u.: 0.14
! ΔE_f in kJ/mol of formula units: -101.0